Material: Er6TlAu5
Method: DFT, PBE
State: relaxed

Properties
**Size of the total moment**: 0.0 μB per cell
**Formation energy from the elements**: -902.0 kJ/mol of formula units
**Uncorrected energy**: -4.6232 eV per atom
**Space-group type**: No. 12

```
Er6TlAu5
1.0
-2.8312 0.9878 -4.1093
7.3713 -3.9027 -2.8606
-5.2202 -4.1779 5.7484
Tl Au Er
1 5 6
Cartesian
0.0000 0.0000 0.0000
-4.6201 -3.6400 2.3156
-3.8539 -3.0984 -1.2308
-0.3400 -3.5464 -0.6107
3.1738 -3.9945 0.0093
3.9401 -3.4529 -3.5370
-2.3280 -1.8626 1.1605
-2.6604 -5.3244 0.5638
-1.5941 -1.3687 -2.3754
0.9141 -5.7242 1.1539
1.9803 -1.7684 -1.7852
1.6480 -5.2303 -2.3820
```

Material: PrYInSn
Method: DFT, PBE
State: relaxed

Properties
**Size of the total moment**: 0.0 μB per cell
**Relative energy among the computed polymorphs**: 0.107 eV per atom
**Formation energy from the elements**: -204.9 kJ/mol of formula units
**Uncorrected energy**: -5.0272 eV per atom
**Space-group type**: No. 216

```
PrYInSn
1.0
5.4387 0.0000 0.0000
2.7194 4.7101 0.0000
2.7194 1.5700 4.4407
Pr Y Sn In
1 1 1 1
Cartesian
0.0000 0.0000 0.0000
5.4387 3.1401 2.2204
8.1581 4.7101 3.3305
2.7194 1.5700 1.1102
```